## a
La2Tb2Tm3: optimized geometry, GGA-PBE.

V ... 462 Å³/cell
Total moment ... 0.000 Bohr magnetons per cell
DOS at the Fermi energy ... 10.41 states/eV/f.u.

The structure in CIF format:
```
data_La2Tb2Tm3
_chemical_formula_sum 'La4 Tb4 Tm6'
_cell_length_a 5.7166
_cell_length_b 23.2953
_cell_length_c 3.4724
_cell_angle_alpha 90.00
_cell_angle_beta 90.00
_cell_angle_gamma 90.00
_symmetry_space_group_name_H-M 'C m m m'
_symmetry_Int_Tables_number 65
_symmetry_space_group_name_Hall '-C 2 2'
loop_
_atom_site_label
_atom_site_type_symbol
_atom_site_fract_x
_atom_site_fract_y
_atom_site_fract_z
_atom_site_occupancy
La1 La 0.0000 0.1471 0.0000 1
Tb1 Tb 0.0000 0.4278 0.5000 1
Tm1 Tm 0.0000 0.0000 0.5000 1
Tm2 Tm 0.0000 0.2862 0.5000 1
```

## b
La2Tb2Tm3: optimized geometry, GGA-PBE.

V ... 930 Å³/cell
Total moment ... 0.000 Bohr magnetons per cell
DOS at the Fermi energy ... 9.87 states/eV/f.u.

The structure in CIF format:
```
data_La2Tb2Tm3
_chemical_formula_sum 'La8 Tb8 Tm12'
_cell_length_a 9.7627
_cell_length_b 9.7627
_cell_length_c 9.7627
_cell_angle_alpha 90.00
_cell_angle_beta 90.00
_cell_angle_gamma 90.00
_symmetry_space_group_name_H-M 'I 21 3'
_symmetry_Int_Tables_number 199
_symmetry_space_group_name_Hall 'I 2b 2c 3'
loop_
_atom_site_label
_atom_site_type_symbol
_atom_site_fract_x
_atom_site_fract_y
_atom_site_fract_z
_atom_site_occupancy
La1 La 0.1592 0.3408 0.6592 1
Tb1 Tb 0.0385 0.0385 0.0385 1
Tm1 Tm 0.0000 0.2500 0.2973 1
```

The structure with the most favorable energy is a; the runner-up is 6.0 kJ/mol of atoms above it.

## a
LaTb4Tm3: optimized geometry, GGA-PBE.

V ... 519 Å³/cell
Total moment ... 0.000 Bohr magnetons per cell
DOS at the Fermi energy ... 15.24 states/eV/f.u.

The structure in CIF format:
```
data_LaTb4Tm3
_chemical_formula_sum 'La2 Tb8 Tm6'
_cell_length_a 3.4443
_cell_length_b 6.6696
_cell_length_c 22.5845
_cell_angle_alpha 90.00
_cell_angle_beta 90.00
_cell_angle_gamma 90.00
_symmetry_space_group_name_H-M 'I m m m'
_symmetry_Int_Tables_number 71
_symmetry_space_group_name_Hall '-I 2 2'
loop_
_atom_site_label
_atom_site_type_symbol
_atom_site_fract_x
_atom_site_fract_y
_atom_site_fract_z
_atom_site_occupancy
La1 La 0.0000 0.0000 0.0000 1
Tb1 Tb 0.0000 0.2583 0.1268 1
Tm1 Tm 0.0000 0.0000 0.2598 1
Tm2 Tm 0.0000 0.0000 0.5000 1
```

## b
LaTb4Tm3: optimized geometry, GGA-PBE.

V ... 517 Å³/cell
Total moment ... 0.002 Bohr magnetons per cell
DOS at the Fermi energy ... 12.72 states/eV/f.u.

The structure in CIF format:
```
data_LaTb4Tm3
_chemical_formula_sum 'La2 Tb8 Tm6'
_cell_length_a 11.3178
_cell_length_b 7.2768
_cell_length_c 6.2743
_cell_angle_alpha 90.00
_cell_angle_beta 90.00
_cell_angle_gamma 90.00
_symmetry_space_group_name_H-M 'P m n 21'
_symmetry_Int_Tables_number 31
loop_
_symmetry_equiv_pos_as_xyz
'x,y,z'
'-x+1/2,-y,z+1/2'
'-x,y,z'
'x+1/2,-y,z+1/2'
loop_
_atom_site_label
_atom_site_type_symbol
_atom_site_fract_x
_atom_site_fract_y
_atom_site_fract_z
_atom_site_occupancy
La1 La 0.0000 0.1257 0.0000 1
Tb1 Tb 0.0000 0.3762 0.5051 1
Tb2 Tb 0.0000 0.6265 0.0012 1
Tb3 Tb 0.2465 0.6252 0.3379 1
Tm1 Tm 0.0000 0.8738 0.5038 1
Tm2 Tm 0.2491 0.1248 0.3367 1
```

The structure with the most favorable energy is b; the runner-up is 14.3 kJ/mol of atoms above it.

## a
LaTb6Tm4: optimized geometry, GGA-PBE.

V ... 759 Å³/cell
Total moment ... 0.001 Bohr magnetons per cell
DOS at the Fermi energy ... 15.82 states/eV/f.u.

The structure in CIF format:
```
data_LaTb6Tm4
_chemical_formula_sum 'La2 Tb12 Tm8'
_cell_length_a 7.5828
_cell_length_b 7.5828
_cell_length_c 13.1972
_cell_angle_alpha 90.00
_cell_angle_beta 90.00
_cell_angle_gamma 90.00
_symmetry_space_group_name_H-M 'I -4 2 m'
_symmetry_Int_Tables_number 121
_symmetry_space_group_name_Hall 'I -4 2'
loop_
_atom_site_label
_atom_site_type_symbol
_atom_site_fract_x
_atom_site_fract_y
_atom_site_fract_z
_atom_site_occupancy
La1 La 0.0000 0.0000 0.0000 1
Tb1 Tb 0.0000 0.5000 0.0000 1
Tb2 Tb 0.2418 0.2418 0.1877 1
Tm1 Tm 0.1594 0.1594 0.4212 1
```

## b
LaTb6Tm4: optimized geometry, GGA-PBE.

V ... 1414 Å³/cell
Total moment ... 0.001 Bohr magnetons per cell
DOS at the Fermi energy ... 19.95 states/eV/f.u.

The structure in CIF format:
```
data_LaTb6Tm4
_chemical_formula_sum 'La4 Tb24 Tm16'
_cell_length_a 5.7126
_cell_length_b 9.6394
_cell_length_c 25.6861
_cell_angle_alpha 90.00
_cell_angle_beta 90.00
_cell_angle_gamma 90.00
_symmetry_space_group_name_H-M 'C m c m'
_symmetry_Int_Tables_number 63
_symmetry_space_group_name_Hall '-C 2c 2'
loop_
_atom_site_label
_atom_site_type_symbol
_atom_site_fract_x
_atom_site_fract_y
_atom_site_fract_z
_atom_site_occupancy
La1 La 0.0000 0.1912 0.2500 1
Tb1 Tb 0.0000 0.1399 0.6795 1
Tb2 Tb 0.0000 0.1899 0.0990 1
Tb3 Tb 0.0000 0.4736 0.7500 1
Tb4 Tb 0.0000 0.5000 0.0000 1
Tm1 Tm 0.0000 0.1569 0.5421 1
Tm2 Tm 0.0000 0.4709 0.6222 1
```

The structure with the most favorable energy is b; the runner-up is 28.0 kJ/mol of atoms above it.

## a
LaTbTm5: optimized geometry, GGA-PBE.

V ... 915 Å³/cell
Total moment ... 0.000 Bohr magnetons per cell
DOS at the Fermi energy ... 10.95 states/eV/f.u.

The structure in CIF format:
```
data_LaTbTm5
_chemical_formula_sum 'La4 Tb4 Tm20'
_cell_length_a 7.0397
_cell_length_b 11.4343
_cell_length_c 11.3664
_cell_angle_alpha 90.00
_cell_angle_beta 90.00
_cell_angle_gamma 90.00
_symmetry_space_group_name_H-M 'I m m a'
_symmetry_Int_Tables_number 74
_symmetry_space_group_name_Hall '-I 2b 2'
loop_
_atom_site_label
_atom_site_type_symbol
_atom_site_fract_x
_atom_site_fract_y
_atom_site_fract_z
_atom_site_occupancy
La1 La 0.2500 0.2500 0.2500 1
Tb1 Tb 0.0000 0.2500 0.5429 1
Tm1 Tm 0.0000 0.0357 0.7503 1
Tm2 Tm 0.0000 0.2500 0.9585 1
Tm3 Tm 0.2498 0.0000 0.0000 1
```

## b
LaTbTm5: optimized geometry, GGA-PBE.

V ... 582 Å³/cell
Total moment ... 0.010 Bohr magnetons per cell
DOS at the Fermi energy ... 9.50 states/eV/f.u.

The structure in CIF format:
```
data_LaTbTm5
_chemical_formula_sum 'La2 Tb2 Tm10'
_cell_length_a 5.7626
_cell_length_b 8.5684
_cell_length_c 11.7953
_cell_angle_alpha 90.00
_cell_angle_beta 90.00
_cell_angle_gamma 90.00
_symmetry_space_group_name_H-M 'I m m m'
_symmetry_Int_Tables_number 71
_symmetry_space_group_name_Hall '-I 2 2'
loop_
_atom_site_label
_atom_site_type_symbol
_atom_site_fract_x
_atom_site_fract_y
_atom_site_fract_z
_atom_site_occupancy
La1 La 0.0000 0.0000 0.0000 1
Tb1 Tb 0.0000 0.0000 0.5000 1
Tm1 Tm 0.0000 0.0000 0.2548 1
Tm2 Tm 0.0000 0.3211 0.5000 1
Tm3 Tm 0.0000 0.5000 0.0000 1
```

The structure with the most favorable energy is a; the runner-up is 94.1 kJ/mol of atoms above it.

## a
La4Tb2Tm3: optimized geometry, GGA-PBE.

V ... 308 Å³/cell
Total moment ... 0.000 Bohr magnetons per cell
DOS at the Fermi energy ... 13.16 states/eV/f.u.

The structure in CIF format:
```
data_La4Tb2Tm3
_chemical_formula_sum 'La4 Tb2 Tm3'
_cell_length_a 3.6554
_cell_length_b 8.8650
_cell_length_c 9.7055
_cell_angle_alpha 101.38
_cell_angle_beta 91.10
_cell_angle_gamma 90.10
_symmetry_space_group_name_H-M 'P -1'
_symmetry_Int_Tables_number 2
loop_
_symmetry_equiv_pos_as_xyz
'x,y,z'
'-x,-y,-z'
loop_
_atom_site_label
_atom_site_type_symbol
_atom_site_fract_x
_atom_site_fract_y
_atom_site_fract_z
_atom_site_occupancy
La1 La 0.2253 0.3669 0.0932 1
La2 La 0.2367 0.8593 0.6157 1
Tb1 Tb 0.2188 0.7966 0.2245 1
Tm1 Tm 0.2614 0.4429 0.6197 1
Tm2 Tm 0.5000 0.0000 0.0000 1
```

## b
La4Tb2Tm3: optimized geometry, GGA-PBE.

V ... 604 Å³/cell
Total moment ... 0.000 Bohr magnetons per cell
DOS at the Fermi energy ... 15.64 states/eV/f.u.

The structure in CIF format:
```
data_La4Tb2Tm3
_chemical_formula_sum 'La8 Tb4 Tm6'
_cell_length_a 15.3651
_cell_length_b 5.1320
_cell_length_c 8.0787
_cell_angle_alpha 90.00
_cell_angle_beta 108.51
_cell_angle_gamma 90.00
_symmetry_space_group_name_H-M 'C 1 2/m 1'
_symmetry_Int_Tables_number 12
loop_
_symmetry_equiv_pos_as_xyz
'x,y,z'
'-x,-y,-z'
'-x,y,-z'
'x,-y,z'
'x+1/2,y+1/2,z'
'-x+1/2,-y+1/2,-z'
'-x+1/2,y+1/2,-z'
'x+1/2,-y+1/2,z'
loop_
_atom_site_label
_atom_site_type_symbol
_atom_site_fract_x
_atom_site_fract_y
_atom_site_fract_z
_atom_site_occupancy
La1 La 0.0535 0.0000 0.3305 1
La2 La 0.2232 0.5000 0.3326 1
Tb1 Tb 0.1672 0.0000 0.9998 1
Tm1 Tm 0.0000 0.5000 0.0000 1
Tm2 Tm 0.1117 0.5000 0.6720 1
```

The structure with the most favorable energy is b; the runner-up is 7.2 kJ/mol of atoms above it.